## Co2CuNi5 (PBE-GGA)

Data for an optimized crystal structure of Co2CuNi5.

Properties
N(E_F), states/eV per cell: 10.070
Space-group type: Immm (71)
Formation energy from the elements, eV per atom: 0.09

Lattice parameters (Å, degrees): 2.4506 6.2161 6.2161 77.55 78.63 78.63
Last column: nearest neighbours and their distance in Å.
Sites, in units of the cell vectors:
Co1 0.7446 0.7554 0.7554  7 Ni 2.35-2.47, 2 Co 2.45, 2 Cu 2.60
Ni1 0.6305 0.1382 0.6008  3 Co 2.35-2.47, 7 Ni 2.45-2.57
Cu1 0.0000 0.0000 0.0000  2 Cu 2.45, 4 Co 2.60, 8 Ni 2.72
Ni2 0.3695 0.3992 0.8618  3 Co 2.35-2.47, 7 Ni 2.45-2.57
Co2 0.2554 0.2446 0.2446  7 Ni 2.35-2.47, 2 Co 2.45, 2 Cu 2.60
Ni3 0.0000 0.5000 0.5000  2 Co 2.40, 10 Ni 2.45-2.50
Ni4 0.3695 0.8618 0.3992  3 Co 2.35-2.47, 7 Ni 2.45-2.57
Ni5 0.6305 0.6008 0.1382  3 Co 2.35-2.47, 7 Ni 2.45-2.57